1.
Material: ZrCuReBi
Method: DFT, PBE-GGA
State: relaxed

For the density of states at the Fermi level, the calculation gives 6.1 states/eV/cell. As for the crystal system: orthorhombic. The calculation puts the offset from the most stable computed form at 110 meV/atom. The value obtained for the calculated density is 11733 kg/m3.

CIF file:
```
data_ZrCuReBi
_space_group_name_H-M_alt 'A m m 2'
_space_group_IT_number 38
_cell_length_a 4.329
_cell_length_b 3.492
_cell_length_c 10.298
_cell_angle_alpha 90.00
_cell_angle_beta 90.00
_cell_angle_gamma 90.00
loop_
_space_group_symop_operation_xyz
'x,y,z'
'-x,-y,z'
'-x,y,z'
'x,-y,z'
'x,y+1/2,z+1/2'
'-x,-y+1/2,z+1/2'
'-x,y+1/2,z+1/2'
'x,-y+1/2,z+1/2'
loop_
_atom_site_label
_atom_site_type_symbol
_atom_site_fract_x
_atom_site_fract_y
_atom_site_fract_z
_atom_site_occupancy
Zr1 Zr 0.000 0.000 0.000 1
Cu1 Cu 0.000 0.000 0.280 1
Re1 Re 0.500 0.000 0.428 1
Bi1 Bi 0.500 0.000 0.702 1
```

2.
Material: Pm2Dy2Mg3
Method: DFT, PBE-GGA
State: relaxed

The calculation puts the uncorrected energy at -3.4280 eV per atom. For the density of states at the Fermi level, the calculation gives 16.9 states/eV/cell. As for the crystal system: tetragonal. The value obtained for the calculated density is 5667 kg/m3.

CIF file:
```
data_Pm2Dy2Mg3
_space_group_name_H-M_alt 'I 4/m m m'
_space_group_IT_number 139
_space_group_name_Hall '-I 4 2'
_cell_length_a 3.778
_cell_length_b 3.778
_cell_length_c 28.240
_cell_angle_alpha 90.00
_cell_angle_beta 90.00
_cell_angle_gamma 90.00
loop_
_atom_site_label
_atom_site_type_symbol
_atom_site_fract_x
_atom_site_fract_y
_atom_site_fract_z
_atom_site_occupancy
Pm1 Pm 0.000 0.000 0.069 1
Dy1 Dy 0.000 0.000 0.209 1
Mg1 Mg 0.000 0.000 0.359 1
Mg2 Mg 0.000 0.000 0.500 1
```

3.
Material: NaEuInGe
Method: DFT, PBE-GGA
State: relaxed

The calculation puts the uncorrected energy at -5.0199 eV per atom. For the density of states at the Fermi level, the calculation gives 3.0 states/eV/cell. As for the crystal system: cubic. The value obtained for the calculated density is 5759 kg/m3.

CIF file:
```
data_NaEuInGe
_space_group_name_H-M_alt 'F -4 3 m'
_space_group_IT_number 216
_space_group_name_Hall 'F -4 2 3'
_cell_length_a 7.477
_cell_length_b 7.477
_cell_length_c 7.477
_cell_angle_alpha 90.00
_cell_angle_beta 90.00
_cell_angle_gamma 90.00
loop_
_atom_site_label
_atom_site_type_symbol
_atom_site_fract_x
_atom_site_fract_y
_atom_site_fract_z
_atom_site_occupancy
Na1 Na 0.000 0.000 0.000 1
Eu1 Eu 0.000 0.000 0.500 1
In1 In 0.250 0.250 0.750 1
Ge1 Ge 0.250 0.250 0.250 1
```

4.
Material: BaSnB
Method: DFT, PBE-GGA
State: relaxed

The calculation puts the uncorrected energy at -4.1788 eV per atom. For the density of states at the Fermi level, the calculation gives 2.3 states/eV/cell. As for the crystal system: monoclinic. The value obtained for the calculated density is 4964 kg/m3.

CIF file:
```
data_BaSnB
_space_group_name_H-M_alt 'C 1 2/m 1'
_space_group_IT_number 12
_cell_length_a 14.234
_cell_length_b 4.003
_cell_length_c 6.270
_cell_angle_alpha 90.00
_cell_angle_beta 92.25
_cell_angle_gamma 90.00
loop_
_space_group_symop_operation_xyz
'x,y,z'
'-x,-y,-z'
'-x,y,-z'
'x,-y,z'
'x+1/2,y+1/2,z'
'-x+1/2,-y+1/2,-z'
'-x+1/2,y+1/2,-z'
'x+1/2,-y+1/2,z'
loop_
_atom_site_label
_atom_site_type_symbol
_atom_site_fract_x
_atom_site_fract_y
_atom_site_fract_z
_atom_site_occupancy
Ba1 Ba 0.153 0.000 0.211 1
Sn1 Sn 0.076 0.500 0.786 1
B1 B 0.032 0.000 0.610 1
```

5.
Material: BaNbGe2Te
Method: DFT, PBE-GGA
State: relaxed

The calculation puts the uncorrected energy at -3.7856 eV per atom. For the density of states at the Fermi level, the calculation gives 3.8 states/eV/cell. As for the crystal system: tetragonal. The value obtained for the calculated density is 4477 kg/m3.

CIF file:
```
data_BaNbGe2Te
_space_group_name_H-M_alt 'P 4/m m m'
_space_group_IT_number 123
_space_group_name_Hall '-P 4 2'
_cell_length_a 5.471
_cell_length_b 5.471
_cell_length_c 6.236
_cell_angle_alpha 90.00
_cell_angle_beta 90.00
_cell_angle_gamma 90.00
loop_
_atom_site_label
_atom_site_type_symbol
_atom_site_fract_x
_atom_site_fract_y
_atom_site_fract_z
_atom_site_occupancy
Ba1 Ba 0.000 0.000 0.000 1
Nb1 Nb 0.500 0.500 0.000 1
Ge1 Ge 0.000 0.500 0.500 1
Te1 Te 0.000 0.000 0.500 1
```

6.
Material: Th3TeOs
Method: DFT, PBE-GGA
State: relaxed

The calculation puts the uncorrected energy at -7.8020 eV per atom. For the density of states at the Fermi level, the calculation gives 21.8 states/eV/cell. As for the crystal system: orthorhombic. The value obtained for the calculated density is 10519 kg/m3.

CIF file:
```
data_Th3TeOs
_space_group_name_H-M_alt 'C m c 21'
_space_group_IT_number 36
_cell_length_a 4.294
_cell_length_b 19.831
_cell_length_c 7.519
_cell_angle_alpha 90.00
_cell_angle_beta 90.00
_cell_angle_gamma 90.00
loop_
_space_group_symop_operation_xyz
'x,y,z'
'-x,-y,z+1/2'
'-x,y,z'
'x,-y,z+1/2'
'x+1/2,y+1/2,z'
'-x+1/2,-y+1/2,z+1/2'
'-x+1/2,y+1/2,z'
'x+1/2,-y+1/2,z+1/2'
loop_
_atom_site_label
_atom_site_type_symbol
_atom_site_fract_x
_atom_site_fract_y
_atom_site_fract_z
_atom_site_occupancy
Th1 Th 0.000 0.045 0.000 1
Th2 Th 0.000 0.295 0.352 1
Th3 Th 0.000 0.359 0.819 1
Te1 Te 0.000 0.450 0.185 1
Os1 Os 0.000 0.187 0.098 1
```

Computed values of total magnetic moment (unit: μB/f.u.) for the preceding records, in sequence: 0.00; 0.00; 6.96; 0.00; 3.58; 0.00.